This record from Alexandria via LeMat-Bulk describes a relaxed structure of MnTl2PbF6. The functional is PBE with a Hubbard U.

Properties
Space-group type ... No. 59
M_tot ... 10.000 μB per cell
E ... -4.935 eV/atom
Fermi-level density of states ... 0.00 states/eV/f.u.

Cell lengths 6.293, 9.089, 6.724 Å; angles 90.00, 90.00, 90.00 degrees
Fractional coordinates of all 20 atoms:
Mn1 0.250 0.250 0.229
Mn2 0.750 0.750 0.771
Tl1 0.250 0.528 0.796
Tl2 0.250 0.972 0.796
Tl3 0.750 0.028 0.204
Tl4 0.750 0.472 0.204
Pb1 0.250 0.750 0.283
Pb2 0.750 0.250 0.717
F1 0.000 0.250 0.006
F2 0.000 0.750 0.994
F3 0.002 0.250 0.441
F4 0.250 0.014 0.202
F5 0.250 0.486 0.202
F6 0.498 0.250 0.441
F7 0.500 0.250 0.006
F8 0.500 0.750 0.994
F9 0.502 0.750 0.559
F10 0.750 0.514 0.798
F11 0.750 0.986 0.798
F12 0.998 0.750 0.559